(1)
BaCoRu2 at its PBEsol-relaxed geometry, computed with SCAN.

Cell: 2.9958 4.7879 4.7988 Å, 90.00 90.00 90.00°
Positions (direct):
Ba  0.0000  0.0000  0.0000
Co  0.5000  0.5000  0.0000
Ru  0.0000  0.5000  0.5000
Ru  0.5000  0.0000  0.5000

Summary:
Polymorph energy (0 for the lowest one) in meV per atom: 533
Energy of formation from the pure elements in meV/atom: 1171

(2)
CrNi6Mo at its PBEsol-relaxed geometry, computed with SCAN.

Cell: 6.1456 6.1456 10.0347 Å, 90.00 90.00 109.40°
Positions (direct):
Cr  0.0000  0.0000  0.2455
Cr  0.0000  0.0000  0.7545
Cr  0.2515  0.7485  0.0000
Cr  0.7485  0.2515  0.0000
Ni  0.0000  0.0000  0.0000
Ni  0.0000  0.0000  0.5000
Ni  0.1255  0.3754  0.1249
Ni  0.1252  0.3747  0.3749
Ni  0.1252  0.3747  0.6251
Ni  0.1255  0.3754  0.8751
Ni  0.2500  0.7500  0.2507
Ni  0.2500  0.7500  0.7493
Ni  0.3754  0.1255  0.1249
Ni  0.3747  0.1252  0.3749
Ni  0.3747  0.1252  0.6251
Ni  0.3754  0.1255  0.8751
Ni  0.5000  0.5000  0.0000
Ni  0.5000  0.5000  0.5000
Ni  0.6246  0.8745  0.1249
Ni  0.6253  0.8748  0.3749
Ni  0.6253  0.8748  0.6251
Ni  0.6246  0.8745  0.8751
Ni  0.7500  0.2500  0.2507
Ni  0.7500  0.2500  0.7493
Ni  0.8745  0.6246  0.1249
Ni  0.8748  0.6253  0.3749
Ni  0.8748  0.6253  0.6251
Ni  0.8745  0.6246  0.8751
Mo  0.2515  0.7485  0.5000
Mo  0.5000  0.5000  0.2444
Mo  0.5000  0.5000  0.7556
Mo  0.7485  0.2515  0.5000

Summary:
Energy of formation from the pure elements in meV/atom: 14

(3)
Na2TlO at its PBEsol-relaxed geometry, computed with SCAN.

Cell: 6.1408 6.1408 6.1408 Å, 102.12 102.12 125.45°
Positions (direct):
Na  0.3750  0.2440  0.3690
Na  0.7560  0.1250  0.1310
Na  0.8750  0.0060  0.6310
Na  0.9940  0.6250  0.8690
Tl  0.2500  0.7500  0.5000
Tl  0.5000  0.5000  0.0000
O  0.0000  0.0000  0.0000
O  0.7500  0.2500  0.5000

Summary:
Formation energy from raw total energies in meV per atom: -674.8

(4)
CaNiTe2I at its PBEsol-relaxed geometry, computed with SCAN.

Cell: 5.7521 5.7521 5.7419 Å, 90.00 90.00 90.00°
Positions (direct):
Ca  0.0000  0.0000  0.0000
Ni  0.5000  0.5000  0.5000
Te  0.0000  0.5000  0.0000
Te  0.5000  0.0000  0.0000
I  0.0000  0.0000  0.5000

Summary:
Formation energy from raw total energies in meV per atom: 513.2

(5)
K2AlSO4F3 at its PBEsol-relaxed geometry, computed with SCAN.

Cell: 10.8549 8.3318 6.8655 Å, 90.00 90.00 90.00°
Positions (direct):
K  0.1986  0.1742  0.1944
K  0.1986  0.8258  0.6944
K  0.3014  0.3258  0.6944
K  0.3014  0.6742  0.1944
K  0.6986  0.3258  0.8056
K  0.6986  0.6742  0.3056
K  0.8014  0.1742  0.3056
K  0.8014  0.8258  0.8056
Al  0.0000  0.5000  0.0000
Al  0.0000  0.5000  0.5000
Al  0.5000  0.0000  0.0000
Al  0.5000  0.0000  0.5000
S  0.0000  0.1903  0.7500
S  0.0000  0.8097  0.2500
S  0.5000  0.3097  0.2500
S  0.5000  0.6903  0.7500
O  0.0550  0.2976  0.5947
O  0.0550  0.7024  0.0947
O  0.0999  0.0944  0.8320
O  0.0999  0.9056  0.3320
O  0.4001  0.4056  0.3320
O  0.4001  0.5944  0.8320
O  0.4450  0.2024  0.0947
O  0.4450  0.7976  0.5947
O  0.5550  0.2024  0.4053
O  0.5550  0.7976  0.9053
O  0.5999  0.4056  0.1680
O  0.5999  0.5944  0.6680
O  0.9001  0.0944  0.6680
O  0.9001  0.9056  0.1680
O  0.9450  0.2976  0.9053
O  0.9450  0.7024  0.4053
F  0.0000  0.4129  0.2500
F  0.0000  0.5871  0.7500
F  0.1570  0.4440  0.9763
F  0.1570  0.5560  0.4763
F  0.3430  0.0560  0.4763
F  0.3430  0.9440  0.9763
F  0.5000  0.0871  0.7500
F  0.5000  0.9129  0.2500
F  0.6570  0.0560  0.0237
F  0.6570  0.9440  0.5237
F  0.8430  0.4440  0.5237
F  0.8430  0.5560  0.0237

Summary:
Formation energy from raw total energies in meV per atom: -2768.5

(6)
BeCrP at its PBEsol-relaxed geometry, computed with SCAN.

Cell: 3.7147 3.7147 2.5951 Å, 90.00 90.00 120.00°
Positions (direct):
Be  0.0000  0.0000  0.0000
Cr  0.3333  0.6667  0.5574
P  0.6667  0.3333  0.8180

Summary:
Polymorph energy (0 for the lowest one) in meV per atom: 63
Energy of formation from the pure elements in meV/atom: 48

(7)
LaSiSb2 at its PBEsol-relaxed geometry, computed with SCAN.

Cell: 8.2220 8.2220 8.2220 Å, 28.51 28.51 28.51°
Positions (direct):
La  0.0000  0.0000  0.0000
Si  0.7466  0.7466  0.7466
Sb  0.2375  0.2375  0.2375
Sb  0.4708  0.4708  0.4708

Summary:
Formation energy from raw total energies in meV per atom: -233.3

(8)
ReAgHg at its PBEsol-relaxed geometry, computed with SCAN.

Cell: 7.4602 7.2969 2.7364 Å, 82.69 75.97 21.33°
Positions (direct):
Re  0.0000  0.0000  0.0000
Ag  0.3395  0.3395  0.6605
Hg  0.6696  0.6696  0.3304

Summary:
Polymorph energy (0 for the lowest one) in meV per atom: 0
Energy of formation from the pure elements in meV/atom: 701

(9)
ZnTcRh2 at its PBEsol-relaxed geometry, computed with SCAN.

Cell: 2.7317 2.7317 7.1750 Å, 90.00 90.00 90.00°
Positions (direct):
Zn  0.0000  0.0000  0.0000
Tc  0.0000  0.0000  0.5000
Rh  0.5000  0.5000  0.2501
Rh  0.5000  0.5000  0.7499

Summary:
Energy of formation from the pure elements in meV/atom: -285

(10)
Cd5Te at its PBEsol-relaxed geometry, computed with SCAN.

Cell: 3.1823 3.1823 13.3903 Å, 90.00 90.00 90.00°
Positions (direct):
Cd  0.0000  0.0000  0.0000
Cd  0.0000  0.0000  0.3110
Cd  0.0000  0.0000  0.6890
Cd  0.5000  0.5000  0.1569
Cd  0.5000  0.5000  0.8431
Te  0.5000  0.5000  0.5000

Summary:
Formation energy from raw total energies in meV per atom: 74.7
Polymorph energy (0 for the lowest one) in meV per atom: 51

(11)
Ca5Al at its PBEsol-relaxed geometry, computed with SCAN.

Cell: 8.5732 8.5732 5.5421 Å, 90.00 90.00 148.87°
Positions (direct):
Ca  0.0000  0.0000  0.0000
Ca  0.1460  0.8540  0.5000
Ca  0.3368  0.6632  0.0000
Ca  0.6632  0.3368  0.0000
Ca  0.8540  0.1460  0.5000
Al  0.5000  0.5000  0.5000

Summary:
Polymorph energy (0 for the lowest one) in meV per atom: 37
Energy of formation from the pure elements in meV/atom: 0

(12)
NaFeH4SO6F at its PBEsol-relaxed geometry, computed with SCAN.

Cell: 5.6848 7.3563 7.1298 Å, 90.00 113.29 90.00°
Positions (direct):
Na  0.1175  0.2500  0.1918
Na  0.8825  0.7500  0.8082
Fe  0.5000  0.0000  0.0000
Fe  0.5000  0.5000  0.0000
H  0.0705  0.0726  0.6878
H  0.0705  0.4274  0.6878
H  0.1949  0.5965  0.6157
H  0.1949  0.9035  0.6157
H  0.8051  0.0965  0.3843
H  0.8051  0.4035  0.3843
H  0.9295  0.5726  0.3122
H  0.9295  0.9274  0.3122
S  0.3447  0.7500  0.3062
S  0.6553  0.2500  0.6938
O  0.1532  0.7500  0.4080
O  0.1661  0.5442  0.7335
O  0.1661  0.9558  0.7335
O  0.2871  0.5852  0.1731
O  0.2871  0.9148  0.1731
O  0.3949  0.2500  0.5389
O  0.6051  0.7500  0.4611
O  0.7129  0.0852  0.8269
O  0.7129  0.4148  0.8269
O  0.8339  0.0442  0.2665
O  0.8339  0.4558  0.2665
O  0.8468  0.2500  0.5920
F  0.3735  0.2500  0.0201
F  0.6265  0.7500  0.9799

(13)
TaWOF2 at its PBEsol-relaxed geometry, computed with SCAN.

Cell: 4.2482 4.2482 3.9255 Å, 90.00 90.00 90.00°
Positions (direct):
Ta  0.0000  0.0000  0.0000
W  0.5000  0.5000  0.5000
O  0.0000  0.0000  0.5000
F  0.0000  0.5000  0.0000
F  0.5000  0.0000  0.0000

Summary:
Formation energy from raw total energies in meV per atom: -503.6

(14)
ScAgOs2 at its PBEsol-relaxed geometry, computed with SCAN.

Cell: 4.4557 4.4557 4.4557 Å, 60.00 60.00 60.00°
Positions (direct):
Sc  0.0000  0.0000  0.0000
Ag  0.7500  0.7500  0.7500
Os  0.2500  0.2500  0.2500
Os  0.5000  0.5000  0.5000

Summary:
Polymorph energy (0 for the lowest one) in meV per atom: 87
Energy of formation from the pure elements in meV/atom: 223

(15)
MgTe2Pt at its PBEsol-relaxed geometry, computed with SCAN.

Cell: 6.6976 6.6976 6.6976 Å, 146.46 141.35 52.09°
Positions (direct):
Mg  0.0000  0.0000  0.0000
Te  0.3474  0.8474  0.5000
Te  0.6526  0.1526  0.5000
Pt  0.5000  0.5000  0.0000

Summary:
Formation energy from raw total energies in meV per atom: -660.2

(16)
AlAu3 at its PBEsol-relaxed geometry, computed with SCAN.

Cell: 4.6929 4.6929 3.1162 Å, 90.00 90.00 105.43°
Positions (direct):
Al  0.0000  0.0000  0.0000
Au  0.0000  0.5000  0.5000
Au  0.5000  0.0000  0.5000
Au  0.5000  0.5000  0.0000

Summary:
Energy of formation from the pure elements in meV/atom: -253

(17)
CaZnAu at its PBEsol-relaxed geometry, computed with SCAN.

Cell: 4.7367 4.7367 4.7367 Å, 60.00 60.00 60.00°
Positions (direct):
Ca  0.0000  0.0000  0.0000
Zn  0.7500  0.7500  0.7500
Au  0.2500  0.2500  0.2500

Summary:
Energy of formation from the pure elements in meV/atom: -162

(18)
KMg3Sb at its PBEsol-relaxed geometry, computed with SCAN.

Cell: 5.6773 5.6773 5.6773 Å, 90.00 90.00 90.00°
Positions (direct):
K  0.0000  0.0000  0.0000
Mg  0.0000  0.5000  0.5000
Mg  0.5000  0.0000  0.5000
Mg  0.5000  0.5000  0.0000
Sb  0.5000  0.5000  0.5000

Summary:
Formation energy from raw total energies in meV per atom: 230.4

(19)
CrSiAg3 at its PBEsol-relaxed geometry, computed with SCAN.

Cell: 4.8207 4.8207 4.8207 Å, 90.00 90.00 90.00°
Positions (direct):
Cr  0.0000  0.0000  0.0000
Si  0.5000  0.5000  0.5000
Ag  0.0000  0.0000  0.5000
Ag  0.0000  0.5000  0.0000
Ag  0.5000  0.0000  0.0000

Summary:
Formation energy from raw total energies in meV per atom: 1330.5

(20)
CdGeBi2O6 at its PBEsol-relaxed geometry, computed with SCAN.

Cell: 10.4989 10.0696 5.6187 Å, 90.00 90.00 90.00°
Positions (direct):
Cd  0.0000  0.1114  0.2500
Cd  0.0000  0.8886  0.7500
Cd  0.5000  0.3886  0.7500
Cd  0.5000  0.6114  0.2500
Ge  0.0000  0.3486  0.7500
Ge  0.0000  0.6514  0.2500
Ge  0.5000  0.1514  0.2500
Ge  0.5000  0.8486  0.7500
Bi  0.2417  0.3876  0.2132
Bi  0.2417  0.6124  0.7132
Bi  0.2583  0.1124  0.7132
Bi  0.2583  0.8876  0.2132
Bi  0.7417  0.1124  0.7868
Bi  0.7417  0.8876  0.2868
Bi  0.7583  0.3876  0.2868
Bi  0.7583  0.6124  0.7868
O  0.0783  0.2501  0.5337
O  0.0783  0.7499  0.0337
O  0.1220  0.4471  0.8772
O  0.1220  0.5529  0.3772
O  0.1464  0.0297  0.0106
O  0.1464  0.9703  0.5106
O  0.3536  0.4703  0.5106
O  0.3536  0.5297  0.0106
O  0.3780  0.0529  0.3772
O  0.3780  0.9471  0.8772
O  0.4217  0.2499  0.0337
O  0.4217  0.7501  0.5337
O  0.5783  0.2499  0.4663
O  0.5783  0.7501  0.9663
O  0.6220  0.0529  0.1228
O  0.6220  0.9471  0.6228
O  0.6464  0.4703  0.9894
O  0.6464  0.5297  0.4894
O  0.8536  0.0297  0.4894
O  0.8536  0.9703  0.9894
O  0.8780  0.4471  0.6228
O  0.8780  0.5529  0.1228
O  0.9217  0.2501  0.9663
O  0.9217  0.7499  0.4663

Summary:
Formation energy from raw total energies in meV per atom: -1403.8

E, record by record: -30.46 -18.77 -22.43 -26.90 -9.09 -11.00 -32.14 -56.18 -29.31 -31.48 -9.34 -7.76 -30.42 -47.12 -38.08 -54.06 -30.94 -11.87 -23.17 -25.81 eV per atom
Density, record by record: 9611 9292 5276 4203 2762 4925 6092 16271 11451 8445 1793 2788 9816 14158 7644 15510 6683 2121 5984 7816 kg/m3